(1)
The following is a DFT calculation (GGA-PBE) of a geometry-optimized PmHo6Er structure.

```
PmHo6Er
1.0
6.518 0.000 0.000
-0.018 6.696 0.000
-1.685 -3.303 5.835
Pm Ho Er
1 6 1
Cartesian
0.000 0.000 0.000
0.688 2.265 2.813
1.632 3.651 0.009
0.886 -1.098 3.070
3.930 4.492 2.765
3.184 -0.257 5.826
4.128 1.129 3.022
3.259 0.000 0.000
```

Values from the calculation:
uncorrected energy: -4.389 eV per atom
calculated formation energy: 0.2089 eV/atom
E above lowest polymorph: 55 meV per atom

=====

(2)
The following is a DFT calculation (GGA-PBE) of a geometry-optimized Tb5Pm3S12 structure.

```
Tb5Pm3S12
1.0
-8.135 8.135 8.135
8.135 -8.135 8.135
8.135 8.135 -8.135
Tb Pm S
20 12 48
Cartesian
0.000 0.000 0.000
4.067 4.067 -4.067
4.067 -4.067 4.067
8.135 0.000 0.000
12.202 2.034 0.000
8.135 -4.067 6.101
6.101 8.135 -4.067
6.101 0.000 4.067
4.067 6.101 0.000
8.135 4.067 2.034
-4.067 4.067 4.067
0.000 8.135 0.000
0.000 0.000 8.135
4.067 4.067 4.067
0.000 4.067 6.101
4.067 2.034 8.135
2.034 8.135 4.067
2.034 0.000 12.202
0.000 12.202 2.034
-4.067 6.101 8.135
4.067 2.034 0.000
8.135 4.067 -2.034
2.034 0.000 4.067
10.168 0.000 4.067
0.000 4.067 2.034
4.067 -2.034 8.135
4.067 10.168 0.000
8.135 4.067 6.101
-2.034 8.135 4.067
6.101 8.135 4.067
0.000 4.067 10.168
4.067 6.101 8.135
2.483 -0.355 1.127
9.719 5.194 -4.422
7.780 -1.127 2.483
12.556 -1.584 2.941
10.617 0.355 1.127
9.719 -2.941 4.422
1.127 2.483 -0.355
11.075 3.713 -1.584
5.194 4.422 -1.584
7.008 2.483 0.355
-0.355 1.127 2.483
4.422 -1.584 5.194
7.780 7.008 -2.483
4.422 1.584 2.941
7.008 -2.483 7.780
5.194 -4.422 9.719
2.941 4.422 1.584
9.261 5.652 0.355
2.483 7.780 -1.127
9.719 2.941 3.713
4.422 9.719 -2.941
7.780 1.127 5.652
1.584 2.941 4.422
2.483 0.355 7.008
5.652 7.780 1.127
6.550 5.194 3.713
0.355 7.008 2.483
3.713 -1.584 11.075
-1.584 5.194 4.422
5.652 0.355 9.261
-1.127 2.483 7.780
5.194 3.713 6.550
2.941 12.556 -1.584
1.127 10.617 0.355
3.713 6.550 5.194
0.355 1.127 10.617
3.713 9.719 2.941
8.489 7.008 5.652
1.127 5.652 7.780
2.941 3.713 9.719
-2.941 4.422 9.719
7.008 5.652 8.489
-1.584 11.075 3.713
-2.483 7.780 7.008
-4.422 9.719 5.194
0.355 9.261 5.652
-1.584 2.941 12.556
5.652 8.489 7.008
```

Values from the calculation:
uncorrected energy: -6.242 eV per atom
formation energy without anion corrections: -1.90 eV per atom

=====

(3)
The following is a DFT calculation (GGA-PBE) of a geometry-optimized Hf5NpP6 structure.

```
Hf5NpP6
1.0
3.234 -5.612 0.000
3.234 5.612 0.000
-2.165 0.000 6.092
Hf Np P
5 1 6
Cartesian
0.000 0.000 0.000
2.151 3.716 3.046
3.234 1.876 0.000
3.234 -1.876 0.000
2.151 -3.716 3.046
2.151 0.000 3.046
1.059 1.896 1.492
-0.046 0.000 4.573
1.059 -1.896 1.492
3.244 1.896 4.600
4.348 0.000 1.519
3.244 -1.896 4.600
```

Values from the calculation:
uncorrected energy: -9.142 eV per atom
calculated formation energy: -1.2113 eV/atom

=====

(4)
The following is a DFT calculation (GGA-PBE) of a geometry-optimized Zn2SnBi structure.

```
Zn2SnBi
1.0
4.736 0.000 0.000
0.000 4.736 0.000
0.000 0.000 4.183
Zn Sn Bi
2 1 1
Cartesian
0.000 2.368 0.000
2.368 0.000 0.000
0.000 0.000 2.091
2.368 2.368 2.091
```

Values from the calculation:
uncorrected energy: -2.425 eV per atom
calculated formation energy: 0.1829 eV/atom
E above lowest polymorph: 53 meV per atom

=====

(5)
The following is a DFT calculation (GGA-PBE) of a geometry-optimized La2BeSn2 structure.

```
La2BeSn2
1.0
7.334 0.000 0.000
0.000 7.334 0.000
0.000 0.000 5.077
La Be Sn
4 2 4
Cartesian
1.245 2.422 0.000
2.422 6.089 0.000
4.912 1.245 0.000
6.089 4.912 0.000
0.000 0.000 2.539
3.667 3.667 2.539
1.038 4.705 2.539
2.630 1.038 2.539
4.705 6.297 2.539
6.297 2.630 2.539
```

Values from the calculation:
uncorrected energy: -4.696 eV per atom
calculated formation energy: -0.3788 eV/atom

=====

(6)
The following is a DFT calculation (GGA-PBE) of a geometry-optimized SrNdGe3 structure.

```
SrNdGe3
1.0
2.284 -13.638 0.000
2.284 13.638 0.000
0.000 0.000 4.156
Sr Nd Ge
2 2 6
Cartesian
2.284 11.611 3.117
2.284 -11.611 1.039
2.284 8.130 1.039
2.284 -8.130 3.117
2.284 5.072 1.039
2.284 3.419 3.117
2.284 0.717 3.117
2.284 -0.717 1.039
2.284 -3.419 1.039
2.284 -5.072 3.117
```

Values from the calculation:
uncorrected energy: -4.677 eV per atom
calculated formation energy: -0.6171 eV/atom

=====

(7)
The following is a DFT calculation (GGA-PBE) of a geometry-optimized BaPaSe3 structure.

```
BaPaSe3
1.0
8.152 0.000 0.000
0.000 7.958 0.000
-3.769 0.000 10.440
Ba Pa Se
4 4 12
Cartesian
0.287 1.989 1.582
-1.597 1.990 6.801
5.981 5.968 3.638
4.096 5.969 8.858
2.059 5.970 5.172
0.175 5.967 10.392
4.208 1.991 0.048
2.324 1.988 5.268
0.225 0.140 4.509
-1.659 3.839 9.729
-1.658 0.139 9.730
0.227 3.840 4.510
2.899 5.963 2.525
1.014 5.974 7.745
3.369 1.984 2.695
1.485 1.995 7.915
4.157 4.118 5.929
6.041 7.819 0.710
6.043 4.119 0.711
4.158 7.818 5.931
```

Values from the calculation:
uncorrected energy: -5.977 eV per atom
formation energy without anion corrections: -1.60 eV per atom

=====

(8)
The following is a DFT calculation (GGA-PBE) of a geometry-optimized NaCoCu2Pb structure.

```
NaCoCu2Pb
1.0
5.014 0.000 0.000
0.000 5.014 0.000
0.000 0.000 5.034
Na Co Cu Pb
1 1 2 1
Cartesian
0.000 0.000 0.000
2.507 2.507 0.000
0.000 2.507 2.517
2.507 0.000 2.517
2.507 2.507 2.517
```

Values from the calculation:
uncorrected energy: -3.209 eV per atom
calculated formation energy: 0.8562 eV/atom